No. 1
{"formula": "Sm6Si2Pt", "functional": "PBE-GGA", "state": "relaxed", "lattice_angstrom": [[6.384, 0.000, 0.258], [0.000, 8.013, 0.000], [-0.423, 0.000, 9.984]], "species": ["Sm", "Si", "Si", "Sm", "Pt", "Pt", "Sm", "Sm", "Si", "Sm", "Sm", "Sm", "Sm", "Sm", "Sm", "Si", "Sm", "Sm"], "frac_coords": [[0.368, 0.820, 0.435], [0.926, 0.381, 0.749], [0.426, 0.119, 0.249], [0.632, 0.180, 0.565], [0.500, 0.500, 0.000], [0.000, 0.000, 0.500], [0.359, 0.541, 0.739], [0.859, 0.959, 0.239], [0.574, 0.881, 0.751], [0.349, 0.831, 0.059], [0.151, 0.331, 0.441], [0.141, 0.041, 0.761], [0.849, 0.669, 0.559], [0.868, 0.680, 0.935], [0.641, 0.459, 0.261], [0.074, 0.619, 0.251], [0.132, 0.320, 0.065], [0.651, 0.169, 0.941]], "m_tot_mub_per_fu": 0.003, "e_form_raw_kj_per_mol_fu": -445, "n_ef_per_ev_fu": 10.47}



No. 2
{"formula": "SmZrSc2", "functional": "PBE-GGA", "state": "relaxed", "lattice_angstrom": [[-1.774, -4.207, -0.713], [2.823, -1.757, 3.346], [-3.318, 0.849, 3.245]], "species": ["Sc", "Zr", "Sc", "Sm"], "frac_coords": [[0.000, 0.000, 0.500], [0.500, 0.000, 0.000], [0.000, 0.500, 0.000], [0.500, 0.500, 0.500]], "polymorph_energy_mev_per_atom": 42, "m_tot_mub_per_fu": 0.000, "formation_enthalpy_0k_ev_per_atom": 0.08, "n_ef_per_ev_fu": 5.85}